Record 1
This record from Alexandria via LeMat-Bulk describes a geometry-optimized AsPN2F structure. The functional is GGA-PBE.

Calculated values
Raw formation energy ... 12.904 kcal/mol of atoms
DFT total energy ... -5.157 eV/atom
Energy above the lowest structure with this stoichiometry ... 0.0 meV/atom

```
data_AsPN2F
_space_group_name_H-M_alt 'P 4/m m m'
_space_group_IT_number 123
_space_group_name_Hall '-P 4 2'
_cell_length_a 3.7007
_cell_length_b 3.7007
_cell_length_c 3.6892
_cell_angle_alpha 90.00
_cell_angle_beta 90.00
_cell_angle_gamma 90.00
loop_
_atom_site_label
_atom_site_fract_x
_atom_site_fract_y
_atom_site_fract_z
As1 0.0000 0.0000 0.0000
P1 0.5000 0.5000 0.5000
N1 0.0000 0.5000 0.5000
F1 0.5000 0.5000 0.0000
```

Record 2
This record from Alexandria via LeMat-Bulk describes a geometry-optimized AsPN2F structure. The functional is GGA-PBE.

Calculated values
Raw formation energy ... 22.501 kcal/mol of atoms
DFT total energy ... -4.741 eV/atom
Energy above the lowest structure with this stoichiometry ... 416.1 meV/atom

```
data_AsPN2F
_space_group_name_H-M_alt 'P 4/m m m'
_space_group_IT_number 123
_space_group_name_Hall '-P 4 2'
_cell_length_a 3.8882
_cell_length_b 3.8882
_cell_length_c 3.7974
_cell_angle_alpha 90.00
_cell_angle_beta 90.00
_cell_angle_gamma 90.00
loop_
_atom_site_label
_atom_site_fract_x
_atom_site_fract_y
_atom_site_fract_z
As1 0.0000 0.0000 0.0000
P1 0.5000 0.5000 0.5000
N1 0.0000 0.5000 0.0000
F1 0.0000 0.0000 0.5000
```

Record 3
This record from Alexandria via LeMat-Bulk describes a geometry-optimized AsPbNF2 structure. The functional is GGA-PBE.

Calculated values
Raw formation energy ... -0.487 kcal/mol of atoms
DFT total energy ... -4.106 eV/atom
Energy above the lowest structure with this stoichiometry ... 580.0 meV/atom

```
data_AsPbNF2
_space_group_name_H-M_alt 'P 4/m m m'
_space_group_IT_number 123
_space_group_name_Hall '-P 4 2'
_cell_length_a 4.4710
_cell_length_b 4.4710
_cell_length_c 4.5937
_cell_angle_alpha 90.00
_cell_angle_beta 90.00
_cell_angle_gamma 90.00
loop_
_atom_site_label
_atom_site_fract_x
_atom_site_fract_y
_atom_site_fract_z
As1 0.0000 0.0000 0.0000
Pb1 0.5000 0.5000 0.5000
N1 0.5000 0.5000 0.0000
F1 0.0000 0.5000 0.5000
```